1.
Entry from Alexandria: Be2OsPt after structural relaxation (PBE).

Calculated values
Fermi-level density of states: 2.22 states/eV per cell
final energy: -6.587 eV per atom
SG: P4/mmm, No. 123
total magnetic moment: 0.0 μB per cell

a = 4.024 Å, b = 4.024 Å, c = 2.779 Å
α = 90.00°, β = 90.00°, γ = 90.00°
Fractional positions:
Be  0.000  0.500  0.000
Be  0.500  0.000  0.000
Os  0.000  0.000  0.500
Pt  0.500  0.500  0.500

---

2.
Entry from Alexandria: BeAlZnRu2 after structural relaxation (PBE).

Calculated values
Fermi-level density of states: 4.29 states/eV per cell
final energy: -5.259 eV per atom
SG: P4/mmm, No. 123
total magnetic moment: 0.6 μB per cell

a = 4.168 Å, b = 4.168 Å, c = 3.969 Å
α = 90.00°, β = 90.00°, γ = 90.00°
Fractional positions:
Be  0.000  0.000  0.000
Al  0.500  0.500  0.500
Zn  0.000  0.000  0.500
Ru  0.000  0.500  0.000
Ru  0.500  0.000  0.000

---

3.
Entry from Alexandria: GaPdCl after structural relaxation (PBE).

Calculated values
Fermi-level density of states: 1.68 states/eV per cell
SG: Pca2_1, No. 29
ΔE_f (raw): -1.9 eV per formula unit
total magnetic moment: 0.0 μB per cell

a = 6.934 Å, b = 10.823 Å, c = 4.217 Å
α = 90.00°, β = 90.00°, γ = 90.00°
Fractional positions:
Ga  0.061  0.165  0.000
Ga  0.439  0.165  0.500
Ga  0.561  0.835  0.000
Ga  0.939  0.835  0.500
Pd  0.122  0.040  0.500
Pd  0.378  0.040  0.000
Pd  0.622  0.960  0.500
Pd  0.878  0.960  0.000
Cl  0.018  0.645  0.502
Cl  0.482  0.645  0.002
Cl  0.518  0.355  0.502
Cl  0.982  0.355  0.002

---

4.
Entry from Alexandria: ZrPaMn2 after structural relaxation (PBE).

Calculated values
energy above the lowest structure with this stoichiometry: 243.4 meV/atom
Fermi-level density of states: 5.19 states/eV per cell
SG: R-3m, No. 166
total magnetic moment: 1.3 μB per cell

a = 7.882 Å, b = 7.882 Å, c = 7.882 Å
α = 24.00°, β = 24.00°, γ = 24.00°
Fractional positions:
Zr  0.000  0.000  0.000
Pa  0.500  0.500  0.500
Mn  0.245  0.245  0.245
Mn  0.755  0.755  0.755

---

5.
Entry from Alexandria: TaTe4 after structural relaxation (PBE).

Calculated values
energy above the lowest structure with this stoichiometry: 10.8 meV/atom
Fermi-level density of states: 2.90 states/eV per cell
SG: P4/mcc, No. 124
ΔE_f (raw): -1.3 eV per formula unit
total magnetic moment: 0.0 μB per cell

a = 6.634 Å, b = 6.634 Å, c = 6.924 Å
α = 90.00°, β = 90.00°, γ = 90.00°
Fractional positions:
Ta  0.000  0.000  0.250
Ta  0.000  0.000  0.750
Te  0.140  0.321  0.000
Te  0.140  0.679  0.500
Te  0.321  0.140  0.500
Te  0.321  0.860  0.000
Te  0.679  0.140  0.000
Te  0.679  0.860  0.500
Te  0.860  0.321  0.500
Te  0.860  0.679  0.000

---

6.
Entry from Alexandria: UHgAs2 after structural relaxation (PBE).

Calculated values
energy above the lowest structure with this stoichiometry: 220.9 meV/atom
Fermi-level density of states: 5.50 states/eV per cell
SG: R-3m, No. 166
total magnetic moment: 2.0 μB per cell

a = 8.322 Å, b = 8.322 Å, c = 8.322 Å
α = 29.98°, β = 29.98°, γ = 29.98°
Fractional positions:
U  0.000  0.000  0.000
Hg  0.500  0.500  0.500
As  0.393  0.393  0.393
As  0.607  0.607  0.607

---

7.
Entry from Alexandria: K4YMo after structural relaxation (PBE).

Calculated values
Fermi-level density of states: 6.76 states/eV per cell
final energy: -2.390 eV per atom
SG: F-43m, No. 216
total magnetic moment: 3.4 μB per cell

a = 7.218 Å, b = 7.218 Å, c = 7.218 Å
α = 60.00°, β = 60.00°, γ = 60.00°
Fractional positions:
K  0.124  0.124  0.124
K  0.124  0.124  0.629
K  0.124  0.629  0.124
K  0.629  0.124  0.124
Y  0.500  0.500  0.500
Mo  0.750  0.750  0.750

---

8.
Entry from Alexandria: Tb5Sm2Tm5 after structural relaxation (PBE).

Calculated values
Fermi-level density of states: 15.44 states/eV per cell
final energy: -4.560 eV per atom
SG: C2/m, No. 12
total magnetic moment: 0.0 μB per cell

a = 7.912 Å, b = 7.912 Å, c = 11.188 Å
α = 115.09°, β = 115.09°, γ = 36.91°
Fractional positions:
Tb  0.000  0.000  0.000
Tb  0.166  0.166  0.499
Tb  0.249  0.249  0.248
Tb  0.751  0.751  0.752
Tb  0.834  0.834  0.501
Sm  0.083  0.083  0.750
Sm  0.917  0.917  0.250
Tm  0.333  0.333  0.999
Tm  0.416  0.416  0.750
Tm  0.500  0.500  0.500
Tm  0.584  0.584  0.250
Tm  0.667  0.667  0.001

---

9.
Entry from Alexandria: BaNaOs2O8 after structural relaxation (PBE).

Calculated values
Fermi-level density of states: 11.25 states/eV per cell
SG: P-3, No. 147
ΔE_f (raw): -16.9 eV per formula unit
total magnetic moment: 3.0 μB per cell

a = 5.991 Å, b = 5.991 Å, c = 7.681 Å
α = 90.00°, β = 90.00°, γ = 120.00°
Fractional positions:
Ba  0.000  0.000  0.000
Na  0.000  0.000  0.500
Os  0.333  0.667  0.778
Os  0.667  0.333  0.222
O  0.166  0.335  0.715
O  0.169  0.834  0.715
O  0.333  0.667  0.012
O  0.335  0.169  0.285
O  0.665  0.831  0.715
O  0.667  0.333  0.988
O  0.831  0.166  0.285
O  0.834  0.665  0.285

---

10.
Entry from Alexandria: RbTa3Hg after structural relaxation (PBE).

Calculated values
energy above the lowest structure with this stoichiometry: 0.0 meV/atom
Fermi-level density of states: 8.94 states/eV per cell
SG: Pm-3m, No. 221
total magnetic moment: 3.5 μB per cell

a = 5.258 Å, b = 5.258 Å, c = 5.258 Å
α = 90.00°, β = 90.00°, γ = 90.00°
Fractional positions:
Rb  0.000  0.000  0.000
Ta  0.000  0.500  0.500
Ta  0.500  0.000  0.500
Ta  0.500  0.500  0.000
Hg  0.500  0.500  0.500

---

11.
Entry from Alexandria: AcHgBrO after structural relaxation (PBE).

Calculated values
Fermi-level density of states: 0.65 states/eV per cell
SG: P4/nmm, No. 129
ΔE_f (raw): -8.7 eV per formula unit
total magnetic moment: 0.0 μB per cell

a = 4.259 Å, b = 4.259 Å, c = 13.182 Å
α = 90.00°, β = 90.00°, γ = 90.00°
Fractional positions:
Ac  0.250  0.250  0.097
Ac  0.750  0.750  0.903
Hg  0.250  0.750  0.500
Hg  0.750  0.250  0.500
Br  0.250  0.250  0.779
Br  0.750  0.750  0.221
O  0.250  0.750  0.000
O  0.750  0.250  0.000

---

12.
Entry from Alexandria: Sc2SbP after structural relaxation (PBE).

Calculated values
Fermi-level density of states: 1.00 states/eV per cell
SG: R-3m, No. 166
ΔE_f (raw): -4.8 eV per formula unit
total magnetic moment: 0.0 μB per cell

a = 7.028 Å, b = 7.028 Å, c = 7.028 Å
α = 32.15°, β = 32.15°, γ = 32.15°
Fractional positions:
Sc  0.239  0.239  0.239
Sc  0.761  0.761  0.761
Sb  0.000  0.000  0.000
P  0.500  0.500  0.500

---

Question: What is the Fermi-level density of states in the first record?
Answer: 2.22 states/eV per cell